No. 1
Ac2MnSe2N2: optimized geometry, GGA-PBE.

The calculation puts the spin magnetization at 0.44 μB/atom. The energy relative to the elements, uncorrected is -1218 meV/atom. The symmetry is I4/mmm (139).

Cell lengths 8.4444, 8.4444, 8.4444 Å; angles 151.19, 151.19, 41.20 degrees
Last column: nearest neighbours and their distance in Å.
Sites, in units of the cell vectors:
1 Ac 0.1111 0.1111 0.0000  4 N 2.74
2 Ac 0.8889 0.8889 0.0000  4 N 2.74
3 Mn 0.5000 0.5000 0.0000  4 N 2.10
4 Se 0.3273 0.3273 0.0000  1 Mn 2.73
5 Se 0.6727 0.6727 0.0000  1 Mn 2.73
6 N 0.0000 0.5000 0.5000  2 Mn 2.10
7 N 0.5000 0.0000 0.5000  2 Mn 2.10

No. 2
ZrCu2Au: optimized geometry, GGA-PBE.

The formation energy is 4.3 kJ per mole of atoms. As for the excess energy over the best structure of this formula in the dataset: 306 meV per atom. The calculation puts the spin magnetization at 0.00 μB/atom. The symmetry is R3m (160).

Cell lengths 8.8224, 8.8224, 8.8224 Å; angles 19.46, 19.46, 19.46 degrees
Last column: nearest neighbours and their distance in Å.
Sites, in units of the cell vectors:
1 Zr 0.0000 0.0000 0.0000  3 Cu 2.86, 6 Zr 2.98, 3 Au 3.00
2 Cu 0.2455 0.2455 0.2455  3 Cu 2.51
3 Cu 0.5086 0.5086 0.5086  3 Cu 2.51, 3 Au 2.71
4 Au 0.7612 0.7612 0.7612  3 Cu 2.71, 6 Au 2.98, 3 Zr 3.00

No. 3
Ho15Er4Mg: optimized geometry, GGA-PBE.

The formation energy is 2.0 kJ per mole of atoms. The calculation puts the spin magnetization at 0.00 μB/atom. The symmetry is P4/mmm (123).

Cell lengths 4.9571, 4.9571, 24.8309 Å; angles 90.00, 90.00, 90.00 degrees
Last column: nearest neighbours and their distance in Å.
Sites, in units of the cell vectors:
1 Ho 0.0000 0.0000 0.0000  8 Ho 3.48, 4 Mg 3.51
2 Ho 0.0000 0.0000 0.1967  8 Ho 3.48-3.55, 4 Er 3.51
3 Ho 0.0000 0.0000 0.3991  4 Er 3.51, 8 Ho 3.51-3.52
4 Ho 0.0000 0.0000 0.6009  4 Er 3.51, 8 Ho 3.51-3.52
5 Ho 0.0000 0.0000 0.8033  8 Ho 3.48-3.55, 4 Er 3.51
6 Ho 0.0000 0.5000 0.0985  8 Ho 3.48-3.51, 2 Mg 3.48, 2 Er 3.50
7 Ho 0.0000 0.5000 0.2988  8 Ho 3.51-3.55, 4 Er 3.52
8 Ho 0.0000 0.5000 0.5000  8 Ho 3.51-3.52, 4 Er 3.52
9 Ho 0.0000 0.5000 0.7012  8 Ho 3.51-3.55, 4 Er 3.52
10 Ho 0.0000 0.5000 0.9015  8 Ho 3.48-3.51, 2 Mg 3.48, 2 Er 3.50
11 Ho 0.5000 0.0000 0.0985  8 Ho 3.48-3.51, 2 Mg 3.48, 2 Er 3.50
12 Ho 0.5000 0.0000 0.2988  8 Ho 3.51-3.55, 4 Er 3.52
13 Ho 0.5000 0.0000 0.5000  8 Ho 3.51-3.52, 4 Er 3.52
14 Ho 0.5000 0.0000 0.7012  8 Ho 3.51-3.55, 4 Er 3.52
15 Ho 0.5000 0.0000 0.9015  8 Ho 3.48-3.51, 2 Mg 3.48, 2 Er 3.50
16 Er 0.5000 0.5000 0.1982  12 Ho 3.50-3.52
17 Er 0.5000 0.5000 0.3994  12 Ho 3.51-3.52
18 Er 0.5000 0.5000 0.6006  12 Ho 3.51-3.52
19 Er 0.5000 0.5000 0.8018  12 Ho 3.50-3.52
20 Mg 0.5000 0.5000 0.0000  12 Ho 3.48-3.51

No. 4
BiP3N: optimized geometry, GGA-PBE.

As for the excess energy over the best structure of this formula in the dataset: 1868 meV per atom. The calculation puts the spin magnetization at 0.00 μB/atom. The energy relative to the elements, uncorrected is 2745 meV/atom. The symmetry is Pm-3m (221).

Cell lengths 5.2449, 5.2449, 5.2449 Å; angles 90.00, 90.00, 90.00 degrees
Last column: nearest neighbours and their distance in Å.
Sites, in units of the cell vectors:
1 Bi 0.0000 0.0000 0.0000  6 P 2.62
2 P 0.0000 0.0000 0.5000  2 Bi 2.62
3 P 0.0000 0.5000 0.0000  2 Bi 2.62
4 P 0.5000 0.0000 0.0000  2 Bi 2.62
5 N 0.5000 0.5000 0.5000  12 P 3.71

No. 5
Sm2ZrCl: optimized geometry, GGA-PBE.

The calculation puts the spin magnetization at 0.00 μB/atom. The energy relative to the elements, uncorrected is -314 meV/atom. The symmetry is R-3m (166).

Cell lengths 11.2287, 11.2287, 11.2287 Å; angles 17.06, 17.06, 17.06 degrees
Last column: nearest neighbours and their distance in Å.
Sites, in units of the cell vectors:
1 Sm 0.0975 0.0975 0.0975  3 Cl 3.00, 1 Zr 3.24, 6 Sm 3.33
2 Sm 0.9025 0.9025 0.9025  3 Cl 3.00, 1 Zr 3.24, 6 Sm 3.33
3 Zr 0.0000 0.0000 0.0000  2 Sm 3.24, 6 Zr 3.33
4 Cl 0.5000 0.5000 0.5000  6 Sm 3.00, 6 Cl 3.33

No. 6
TmAgSnHg: optimized geometry, GGA-PBE.

The formation energy is -30.0 kJ per mole of atoms. The calculation puts the spin magnetization at 0.00 μB/atom. The symmetry is F-43m (216).

Cell lengths 5.0710, 5.0710, 5.0710 Å; angles 60.00, 60.00, 60.00 degrees
Last column: nearest neighbours and their distance in Å.
Sites, in units of the cell vectors:
1 Tm 0.0000 0.0000 0.0000  4 Hg 3.11, 4 Sn 3.11
2 Ag 0.5000 0.5000 0.5000  4 Hg 3.11, 4 Sn 3.11
3 Sn 0.2500 0.2500 0.2500  4 Ag 3.11, 4 Tm 3.11
4 Hg 0.7500 0.7500 0.7500  4 Ag 3.11, 4 Tm 3.11

No. 7
YReHg: optimized geometry, GGA-PBE.

The formation energy is 40.7 kJ per mole of atoms. As for the excess energy over the best structure of this formula in the dataset: 0 meV per atom. The calculation puts the spin magnetization at 0.07 μB/atom. The symmetry is Imm2 (44).

Cell lengths 5.5357, 5.5357, 5.5357 Å; angles 148.13, 135.46, 55.81 degrees
Last column: nearest neighbours and their distance in Å.
Sites, in units of the cell vectors:
1 Y 0.0000 0.0000 0.0000  2 Y 3.04, 5 Re 3.06-3.26, 5 Hg 3.06-3.17
2 Re 0.3337 0.3337 0.0000  4 Hg 2.96, 2 Re 3.04, 5 Y 3.06-3.26
3 Hg 0.6869 0.6869 0.0000  4 Re 2.96, 2 Hg 3.04, 5 Y 3.06-3.17

No. 8
Ga6Co5Cu: optimized geometry, GGA-PBE.

The formation energy is -21.5 kJ per mole of atoms. The calculation puts the spin magnetization at 0.00 μB/atom. The symmetry is P2/m (10).

Cell lengths 4.1889, 5.6121, 6.4299 Å; angles 90.00, 103.18, 90.00 degrees
Last column: nearest neighbours and their distance in Å.
Sites, in units of the cell vectors:
1 Ga 0.0000 0.2453 0.0000  6 Co 2.48-2.53, 2 Cu 2.54, 1 Ga 2.75
2 Ga 0.0000 0.7547 0.0000  6 Co 2.48-2.53, 2 Cu 2.54, 1 Ga 2.75
3 Ga 0.3178 0.2464 0.6591  7 Co 2.49-2.56, 1 Cu 2.58, 1 Ga 2.77
4 Ga 0.3178 0.7536 0.6591  7 Co 2.49-2.56, 1 Cu 2.58, 1 Ga 2.77
5 Ga 0.6822 0.2464 0.3409  7 Co 2.49-2.56, 1 Cu 2.58, 1 Ga 2.77
6 Ga 0.6822 0.7536 0.3409  7 Co 2.49-2.56, 1 Cu 2.58, 1 Ga 2.77
7 Co 0.1722 0.0000 0.3272  8 Ga 2.48-2.53, 1 Co 2.76
8 Co 0.1874 0.5000 0.3302  8 Ga 2.50-2.56, 1 Cu 2.74
9 Co 0.5000 0.0000 0.0000  8 Ga 2.51-2.56, 2 Co 2.76, 2 Cu 2.81
10 Co 0.8126 0.5000 0.6698  8 Ga 2.50-2.56, 1 Cu 2.74
11 Co 0.8278 0.0000 0.6728  8 Ga 2.48-2.53, 1 Co 2.76
12 Cu 0.5000 0.5000 0.0000  8 Ga 2.54-2.58, 4 Co 2.74-2.81